[1]
The following is a DFT calculation (PBE-GGA) of an optimized crystal structure of CsCdRh3.

Calculated values
DOS at the Fermi energy	1.687	states/eV per atom
distance to the lowest polymorph of the same formula	0	meV/atom
DFT total energy	-17.445	eV/cell
crystal system	cubic
E_form	1.28	eV per atom
magnetic moment	0.455	μB per atom

Cell lengths 5.110, 5.110, 5.110 Å; angles 90.00, 90.00, 90.00 degrees
Fractional coordinates of all 5 atoms:
Cs  0.000  0.000  0.000
Cd  0.500  0.500  0.500
Rh  0.000  0.500  0.500
Rh  0.500  0.000  0.500
Rh  0.500  0.500  0.000

***

[2]
The following is a DFT calculation (PBE-GGA) of an optimized crystal structure of Cs3CdRh.

Calculated values
DOS at the Fermi energy	0.591	states/eV per atom
DFT total energy	-8.815	eV/cell
crystal system	cubic
E_form	0.40	eV per atom
magnetic moment	0.000	μB per atom

Cell lengths 6.308, 6.308, 6.308 Å; angles 90.00, 90.00, 90.00 degrees
Fractional coordinates of all 5 atoms:
Cs  0.000  0.000  0.500
Cs  0.000  0.500  0.000
Cs  0.500  0.000  0.000
Cd  0.500  0.500  0.500
Rh  0.000  0.000  0.000

***

[3]
The following is a DFT calculation (PBE-GGA) of an optimized crystal structure of CsCd4Rh.

Calculated values
DOS at the Fermi energy	0.399	states/eV per atom
DFT total energy	-23.885	eV/cell
crystal system	orthorhombic
E_form	-0.01	eV per atom
magnetic moment	0.000	μB per atom

Cell lengths 9.207, 9.207, 7.274 Å; angles 90.00, 90.00, 145.60 degrees
Fractional coordinates of all 12 atoms:
Cs  0.091  0.909  0.750
Cs  0.909  0.091  0.250
Cd  0.132  0.868  0.250
Cd  0.292  0.708  0.034
Cd  0.292  0.708  0.466
Cd  0.500  0.500  0.000
Cd  0.500  0.500  0.500
Cd  0.708  0.292  0.534
Cd  0.708  0.292  0.966
Cd  0.868  0.132  0.750
Rh  0.388  0.612  0.750
Rh  0.612  0.388  0.250

***

[4]
The following is a DFT calculation (PBE-GGA) of an optimized crystal structure of Cs2Cd2Rh.

Calculated values
DOS at the Fermi energy	0.430	states/eV per atom
DFT total energy	-19.670	eV/cell
crystal system	tetragonal
E_form	0.21	eV per atom
magnetic moment	0.000	μB per atom

Cell lengths 7.516, 7.516, 6.282 Å; angles 90.00, 90.00, 90.00 degrees
Fractional coordinates of all 10 atoms:
Cs  0.174  0.326  0.000
Cs  0.326  0.826  0.000
Cs  0.674  0.174  0.000
Cs  0.826  0.674  0.000
Cd  0.182  0.682  0.500
Cd  0.318  0.182  0.500
Cd  0.682  0.818  0.500
Cd  0.818  0.318  0.500
Rh  0.000  0.000  0.500
Rh  0.500  0.500  0.500

***

[5]
The following is a DFT calculation (PBE-GGA) of an optimized crystal structure of CsCdRh3.

Calculated values
DOS at the Fermi energy	0.375	states/eV per atom
distance to the lowest polymorph of the same formula	576	meV/atom
DFT total energy	-14.564	eV/cell
crystal system	cubic
E_form	1.85	eV per atom
magnetic moment	0.000	μB per atom

Cell lengths 4.944, 4.944, 4.944 Å; angles 90.00, 90.00, 90.00 degrees
Fractional coordinates of all 5 atoms:
Cs  0.000  0.000  0.000
Cd  0.500  0.500  0.500
Rh  0.000  0.000  0.500
Rh  0.000  0.500  0.000
Rh  0.500  0.000  0.000

***

[6]
The following is a DFT calculation (PBE-GGA) of an optimized crystal structure of Cs2CdRuRh.

Calculated values
DOS at the Fermi energy	1.180	states/eV per atom
DFT total energy	-14.998	eV/cell
crystal system	tetragonal
E_form	0.85	eV per atom
magnetic moment	0.187	μB per atom

Cell lengths 6.844, 6.844, 4.612 Å; angles 90.00, 90.00, 90.00 degrees
Fractional coordinates of all 5 atoms:
Cs  0.000  0.500  0.000
Cs  0.500  0.000  0.000
Cd  0.000  0.000  0.500
Ru  0.500  0.500  0.500
Rh  0.500  0.500  0.000

***

[7]
The following is a DFT calculation (PBE-GGA) of an optimized crystal structure of Cs2CdSnRh.

Calculated values
DOS at the Fermi energy	1.225	states/eV per atom
DFT total energy	-10.688	eV/cell
crystal system	tetragonal
E_form	0.66	eV per atom
magnetic moment	0.129	μB per atom

Cell lengths 6.976, 6.976, 5.109 Å; angles 90.00, 90.00, 90.00 degrees
Fractional coordinates of all 5 atoms:
Cs  0.000  0.500  0.000
Cs  0.500  0.000  0.000
Cd  0.000  0.000  0.000
Sn  0.500  0.500  0.500
Rh  0.000  0.000  0.500

***

[8]
The following is a DFT calculation (PBE-GGA) of an optimized crystal structure of CsCdSn2Rh.

Calculated values
DOS at the Fermi energy	1.082	states/eV per atom
DFT total energy	-11.915	eV/cell
crystal system	tetragonal
E_form	1.04	eV per atom
magnetic moment	0.000	μB per atom

Cell lengths 5.444, 5.444, 6.224 Å; angles 90.00, 90.00, 90.00 degrees
Fractional coordinates of all 5 atoms:
Cs  0.000  0.000  0.000
Cd  0.000  0.000  0.500
Sn  0.000  0.500  0.500
Sn  0.500  0.000  0.500
Rh  0.500  0.500  0.000

***

[9]
The following is a DFT calculation (PBE-GGA) of an optimized crystal structure of CsSr2CdRh.

Calculated values
DOS at the Fermi energy	0.624	states/eV per atom
DFT total energy	-12.864	eV/cell
crystal system	tetragonal
E_form	-0.08	eV per atom
magnetic moment	0.000	μB per atom

Cell lengths 5.872, 5.872, 5.640 Å; angles 90.00, 90.00, 90.00 degrees
Fractional coordinates of all 5 atoms:
Cs  0.000  0.000  0.000
Sr  0.000  0.500  0.500
Sr  0.500  0.000  0.500
Cd  0.500  0.500  0.000
Rh  0.500  0.500  0.500

***

[10]
The following is a DFT calculation (PBE-GGA) of an optimized crystal structure of CsSrCd2Rh.

Calculated values
DOS at the Fermi energy	0.835	states/eV per atom
DFT total energy	-12.225	eV/cell
crystal system	tetragonal
E_form	-0.10	eV per atom
magnetic moment	0.000	μB per atom

Cell lengths 5.526, 5.526, 5.538 Å; angles 90.00, 90.00, 90.00 degrees
Fractional coordinates of all 5 atoms:
Cs  0.000  0.000  0.000
Sr  0.500  0.500  0.000
Cd  0.000  0.500  0.500
Cd  0.500  0.000  0.500
Rh  0.500  0.500  0.500

***

[11]
The following is a DFT calculation (PBE-GGA) of an optimized crystal structure of CsTiCd2Rh.

Calculated values
DOS at the Fermi energy	1.012	states/eV per atom
distance to the lowest polymorph of the same formula	0	meV/atom
DFT total energy	-15.912	eV/cell
crystal system	tetragonal
E_form	0.40	eV per atom
magnetic moment	0.239	μB per atom

Cell lengths 5.784, 5.784, 4.579 Å; angles 90.00, 90.00, 90.00 degrees
Fractional coordinates of all 5 atoms:
Cs  0.000  0.000  0.000
Ti  0.500  0.500  0.500
Cd  0.000  0.500  0.500
Cd  0.500  0.000  0.500
Rh  0.500  0.500  0.000

***

[12]
The following is a DFT calculation (PBE-GGA) of an optimized crystal structure of CsTiCd2Rh.

Calculated values
DOS at the Fermi energy	0.970	states/eV per atom
distance to the lowest polymorph of the same formula	510	meV/atom
DFT total energy	-13.361	eV/cell
crystal system	tetragonal
E_form	0.91	eV per atom
magnetic moment	0.664	μB per atom

Cell lengths 5.315, 5.315, 5.591 Å; angles 90.00, 90.00, 90.00 degrees
Fractional coordinates of all 5 atoms:
Cs  0.000  0.000  0.000
Ti  0.500  0.500  0.000
Cd  0.000  0.500  0.500
Cd  0.500  0.000  0.500
Rh  0.000  0.000  0.500

***

[13]
The following is a DFT calculation (PBE-GGA) of an optimized crystal structure of CsTlCd2Rh.

Calculated values
DOS at the Fermi energy	0.380	states/eV per atom
DFT total energy	-13.014	eV/cell
crystal system	tetragonal
E_form	-0.12	eV per atom
magnetic moment	0.000	μB per atom

Cell lengths 5.418, 5.418, 5.321 Å; angles 90.00, 90.00, 90.00 degrees
Fractional coordinates of all 5 atoms:
Cs  0.000  0.000  0.000
Tl  0.500  0.500  0.000
Cd  0.000  0.500  0.500
Cd  0.500  0.000  0.500
Rh  0.500  0.500  0.500

***

[14]
The following is a DFT calculation (PBE-GGA) of an optimized crystal structure of CsTl2CdRh.

Calculated values
DOS at the Fermi energy	0.330	states/eV per atom
DFT total energy	-14.438	eV/cell
crystal system	tetragonal
E_form	-0.12	eV per atom
magnetic moment	0.000	μB per atom

Cell lengths 5.366, 5.366, 5.471 Å; angles 90.00, 90.00, 90.00 degrees
Fractional coordinates of all 5 atoms:
Cs  0.000  0.000  0.000
Tl  0.000  0.500  0.500
Tl  0.500  0.000  0.500
Cd  0.500  0.500  0.000
Rh  0.500  0.500  0.500